1.
A relaxed Hf4CdCuN2 crystal. Source: OQMD, functional GGA-PBE.

CIF file:
```
data_Hf4CdCuN2
_cell_length_a 3.2256
_cell_length_b 3.2256
_cell_length_c 14.1221
_cell_angle_alpha 90.00
_cell_angle_beta 90.00
_cell_angle_gamma 120.00
_space_group_name_H-M_alt 'P -6 m 2'
_space_group_IT_number 187
_space_group_name_Hall 'P -6 2'
loop_
_atom_site_label
_atom_site_type_symbol
_atom_site_fract_x
_atom_site_fract_y
_atom_site_fract_z
Hf1 Hf 0.0000 0.0000 0.1486
Hf2 Hf 0.3333 0.6667 0.3246
Cd1 Cd 0.0000 0.0000 0.5000
Cu1 Cu 0.3333 0.6667 0.0000
N1 N 0.6667 0.3333 0.2376
```

Values from the calculation:
total DFT energy (no corrections)	-8.5311	eV/atom
total magnetization	0.2	μB/f.u.

2.
A relaxed TaTlO3 crystal. Source: OQMD, functional GGA-PBE.

CIF file:
```
data_TaTlO3
_cell_length_a 5.742
_cell_length_b 8.082
_cell_length_c 5.700
_cell_angle_alpha 90.00
_cell_angle_beta 90.00
_cell_angle_gamma 90.00
_space_group_name_H-M_alt 'I m m a'
_space_group_IT_number 74
_space_group_name_Hall '-I 2b 2'
loop_
_atom_site_label
_atom_site_type_symbol
_atom_site_fract_x
_atom_site_fract_y
_atom_site_fract_z
Ta1 Ta 0.000 0.000 0.000
Tl1 Tl 0.000 0.250 0.500
O1 O 0.000 0.250 0.001
O2 O 0.250 0.001 0.750
```

Values from the calculation:
total DFT energy (no corrections)	-7.9730	eV/atom
total magnetization	0.0	μB/f.u.

3.
A relaxed KCuSnSe3 crystal. Source: OQMD, functional GGA-PBE.

CIF file:
```
data_KCuSnSe3
_cell_length_a 14.901
_cell_length_b 4.057
_cell_length_c 10.690
_cell_angle_alpha 90.00
_cell_angle_beta 90.00
_cell_angle_gamma 90.00
_space_group_name_H-M_alt 'P n m a'
_space_group_IT_number 62
_space_group_name_Hall '-P 2ac 2n'
loop_
_atom_site_label
_atom_site_type_symbol
_atom_site_fract_x
_atom_site_fract_y
_atom_site_fract_z
K1 K 0.225 0.250 0.025
Cu1 Cu 0.008 0.750 0.073
Sn1 Sn 0.017 0.250 0.340
Se1 Se 0.084 0.750 0.871
Se2 Se 0.099 0.250 0.567
Se3 Se 0.122 0.750 0.246
```

Values from the calculation:
total DFT energy (no corrections)	-3.7956	eV/atom

4.
A relaxed MgTlGaPd crystal. Source: OQMD, functional GGA-PBE.

CIF file:
```
data_MgTlGaPd
_cell_length_a 6.784
_cell_length_b 6.784
_cell_length_c 6.784
_cell_angle_alpha 90.00
_cell_angle_beta 90.00
_cell_angle_gamma 90.00
_space_group_name_H-M_alt 'F -4 3 m'
_space_group_IT_number 216
_space_group_name_Hall 'F -4 2 3'
loop_
_atom_site_label
_atom_site_type_symbol
_atom_site_fract_x
_atom_site_fract_y
_atom_site_fract_z
Mg1 Mg 0.000 0.000 0.000
Tl1 Tl 0.250 0.250 0.250
Ga1 Ga 0.000 0.000 0.500
Pd1 Pd 0.250 0.250 0.750
```

Values from the calculation:
total DFT energy (no corrections)	-3.1728	eV/atom

5.
A relaxed Hf2ThN4 crystal. Source: OQMD, functional GGA-PBE.

CIF file:
```
data_Hf2ThN4
_cell_length_a 3.254
_cell_length_b 10.619
_cell_length_c 10.700
_cell_angle_alpha 90.00
_cell_angle_beta 90.00
_cell_angle_gamma 90.00
_space_group_name_H-M_alt 'C m c m'
_space_group_IT_number 63
_space_group_name_Hall '-C 2c 2'
loop_
_atom_site_label
_atom_site_type_symbol
_atom_site_fract_x
_atom_site_fract_y
_atom_site_fract_z
Hf1 Hf 0.000 0.134 0.067
Th1 Th 0.000 0.390 0.250
N1 N 0.000 0.049 0.250
N2 N 0.000 0.233 0.612
N3 N 0.000 0.500 0.000
```

Values from the calculation:
total DFT energy (no corrections)	-10.3482	eV/atom
total magnetization	0.0	μB/f.u.

6.
A relaxed NdCoNiAs2 crystal. Source: OQMD, functional GGA-PBE.

CIF file:
```
data_NdCoNiAs2
_cell_length_a 4.173
_cell_length_b 4.173
_cell_length_c 9.479
_cell_angle_alpha 90.00
_cell_angle_beta 90.00
_cell_angle_gamma 90.00
_space_group_name_H-M_alt 'P 4/n m m'
_space_group_IT_number 129
loop_
_space_group_symop_operation_xyz
'x,y,z'
'-x,-y,-z'
'-y+1/2,x,z'
'y+1/2,-x,-z'
'-x+1/2,-y+1/2,z'
'x+1/2,y+1/2,-z'
'y,-x+1/2,z'
'-y,x+1/2,-z'
'x+1/2,-y,-z'
'-x+1/2,y,z'
'-y,-x,-z'
'y,x,z'
'-x,y+1/2,-z'
'x,-y+1/2,z'
'y+1/2,x+1/2,-z'
'-y+1/2,-x+1/2,z'
loop_
_atom_site_label
_atom_site_type_symbol
_atom_site_fract_x
_atom_site_fract_y
_atom_site_fract_z
Nd1 Nd 0.250 0.250 0.249
Co1 Co 0.250 0.250 0.884
Ni1 Ni 0.250 0.750 0.500
As1 As 0.250 0.250 0.634
As2 As 0.250 0.750 0.000
```

Values from the calculation:
total DFT energy (no corrections)	-6.1490	eV/atom
total magnetization	0.0	μB/f.u.